# Dy4TmPd5, optimized geometry, DFT PBE
data_Dy4TmPd5
_chemical_formula_sum 'Dy4 Tm1 Pd5'
_symmetry_space_group_name_H-M 'P 4/m m m'
_symmetry_Int_Tables_number 123
_symmetry_space_group_name_Hall '-P 4 2'
_cell_length_a 3.466
_cell_length_b 3.466
_cell_length_c 17.828
_cell_angle_alpha 90.00
_cell_angle_beta 90.00
_cell_angle_gamma 90.00
loop_
_atom_site_label
_atom_site_fract_x
_atom_site_fract_y
_atom_site_fract_z
_atom_site_occupancy
Dy1 0.000 0.000 0.101 1
Dy2 0.000 0.000 0.302 1
Tm1 0.000 0.000 0.500 1
Pd1 0.500 0.500 0.000 1
Pd2 0.500 0.500 0.201 1
Pd3 0.500 0.500 0.403 1
# Crystal system: tetragonal
# Raw total energy in eV/atom: -5.774
# Spin magnetization in μB per formula unit: 0.0
# Formation energy in eV per atom: -0.89

=====

# DyTmPd4, optimized geometry, DFT PBE
data_DyTmPd4
_chemical_formula_sum 'Dy4 Tm4 Pd16'
_symmetry_space_group_name_H-M 'F -4 3 m'
_symmetry_Int_Tables_number 216
_symmetry_space_group_name_Hall 'F -4 2 3'
_cell_length_a 7.677
_cell_length_b 7.677
_cell_length_c 7.677
_cell_angle_alpha 90.00
_cell_angle_beta 90.00
_cell_angle_gamma 90.00
loop_
_atom_site_label
_atom_site_fract_x
_atom_site_fract_y
_atom_site_fract_z
_atom_site_occupancy
Dy1 0.000 0.000 0.000 1
Tm1 0.250 0.250 0.750 1
Pd1 0.125 0.125 0.375 1
# Crystal system: cubic
# Raw total energy in eV/atom: -5.791
# Spin magnetization in μB per formula unit: 0.0
# Formation energy in eV per atom: -0.82

=====

# DyTm5Pd6, optimized geometry, DFT PBE
data_DyTm5Pd6
_chemical_formula_sum 'Dy2 Tm10 Pd12'
_symmetry_space_group_name_H-M 'C 1 2/m 1'
_symmetry_Int_Tables_number 12
_cell_length_a 15.650
_cell_length_b 6.802
_cell_length_c 4.954
_cell_angle_alpha 90.00
_cell_angle_beta 108.34
_cell_angle_gamma 90.00
loop_
_symmetry_equiv_pos_as_xyz
'x,y,z'
'-x,-y,-z'
'-x,y,-z'
'x,-y,z'
'x+1/2,y+1/2,z'
'-x+1/2,-y+1/2,-z'
'-x+1/2,y+1/2,-z'
'x+1/2,-y+1/2,z'
loop_
_atom_site_label
_atom_site_fract_x
_atom_site_fract_y
_atom_site_fract_z
_atom_site_occupancy
Dy1 0.000 0.000 0.000 1
Tm1 0.000 0.500 0.000 1
Tm2 0.167 0.000 0.667 1
Tm3 0.167 0.500 0.667 1
Pd1 0.000 0.253 0.500 1
Pd2 0.168 0.251 0.168 1
# Crystal system: monoclinic
# Raw total energy in eV/atom: -5.774
# Spin magnetization in μB per formula unit: 0.0
# Formation energy in eV per atom: -0.93

=====

# DyTm3Pd2, optimized geometry, DFT PBE
data_DyTm3Pd2
_chemical_formula_sum 'Dy2 Tm6 Pd4'
_symmetry_space_group_name_H-M 'P m c 21'
_symmetry_Int_Tables_number 26
_cell_length_a 4.841
_cell_length_b 8.655
_cell_length_c 7.029
_cell_angle_alpha 90.00
_cell_angle_beta 90.00
_cell_angle_gamma 90.00
loop_
_symmetry_equiv_pos_as_xyz
'x,y,z'
'-x,-y,z+1/2'
'-x,y,z'
'x,-y,z+1/2'
loop_
_atom_site_label
_atom_site_fract_x
_atom_site_fract_y
_atom_site_fract_z
_atom_site_occupancy
Dy1 0.000 0.078 0.000 1
Tm1 0.000 0.330 0.628 1
Tm2 0.500 0.172 0.339 1
Tm3 0.500 0.423 0.967 1
Pd1 0.000 0.347 0.226 1
Pd2 0.500 0.157 0.741 1
# Crystal system: orthorhombic
# Raw total energy in eV/atom: -5.390
# Spin magnetization in μB per formula unit: 0.0
# Formation energy in eV per atom: -0.66